# KAlAg2 | Alexandria via LeMat-Bulk | SCAN | single point on PBEsol structure
# * formation enthalpy at 0 K: -12 kJ/mol of formula units
# * V: 222.01 Å³ per cell
# * theoretical density: 4.22 g/cm3
# * total magnetic moment: 0.01 Bohr magnetons per cell
data_KAlAg2
_chemical_formula_sum 'K2 Al2 Ag4'
_symmetry_space_group_name_H-M 'C 1 m 1'
_symmetry_Int_Tables_number 8
_cell_length_a 7.930
_cell_length_b 4.582
_cell_length_c 6.605
_cell_angle_alpha 90.00
_cell_angle_beta 112.31
_cell_angle_gamma 90.00
loop_
_symmetry_equiv_pos_as_xyz
'x,y,z'
'x,-y,z'
'x+1/2,y+1/2,z'
'x+1/2,-y+1/2,z'
loop_
_atom_site_label
_atom_site_type_symbol
_atom_site_fract_x
_atom_site_fract_y
_atom_site_fract_z
_atom_site_occupancy
K1 K 0.000 0.000 0.000 1
Al1 Al 0.310 0.500 0.455 1
Ag1 Ag 0.168 0.000 0.534 1
Ag2 Ag 0.478 0.000 0.460 1